1) A relaxed Pm6Dy3In crystal. Source: Alexandria via LeMat-Bulk, functional PBE.

Cell lengths 3.5529, 8.8021, 21.9488 Å; angles 90.00, 99.00, 90.00 degrees
Space group P2_1/c (No. 14)
Symmetry-distinct sites (fractional):
Pm  0.0906  0.2027  0.0919 x4
Pm  0.1211  0.6574  0.6241 x4
Pm  0.3544  0.5020  0.8520 x4
Dy  0.0000  0.0000  0.5000 x2
Dy  0.2778  0.6374  0.2730 x4
In  0.5000  0.0000  0.0000 x2

Summary:
- crystal system = monoclinic

2) A relaxed Pm6Dy3In crystal. Source: Alexandria via LeMat-Bulk, functional PBE.

Cell lengths 12.9380, 3.5404, 14.4561 Å; angles 90.00, 100.63, 90.00 degrees
Space group P2_1/m (No. 11)
Symmetry-distinct sites (fractional):
Pm  0.0103  0.2500  0.3087 x2
Pm  0.1586  0.2500  0.8844 x2
Pm  0.2530  0.7500  0.3038 x2
Pm  0.2690  0.7500  0.7138 x2
Pm  0.3119  0.7500  0.0758 x2
Pm  0.3887  0.2500  0.5362 x2
Dy  0.0793  0.2500  0.0970 x2
Dy  0.1298  0.7500  0.5010 x2
Dy  0.4283  0.2500  0.8936 x2
In  0.4682  0.2500  0.2719 x2

Summary:
- crystal system = monoclinic

Most stable to least stable: 2), 1)